Computed, not measured: a relaxed structure of RbNaTl2Sn at the PBE-GGA level of DFT.

abc: 6.003 6.003 5.913
angles: 90.00 90.00 90.00
Element x y z (fractional)
1 Rb 0.000 0.000 0.000
2 Na 0.500 0.500 0.000
3 Tl 0.000 0.500 0.500
4 Tl 0.500 0.000 0.500
5 Sn 0.500 0.500 0.500

As for the space group: P4/mmm. The value obtained for the formation energy is 30 meV per atom. As for the uncorrected energy: -2.17 eV per atom.